1.
First-principles (GGA-PBE) data for a geometry-optimized Sc4ReHg structure, as listed in Alexandria.

Output
calculated formation energy	45.4	kJ per mole of atoms
E	-5.8757	eV/atom
DOS at the Fermi energy	6.02	states/eV/f.u.

Cell lengths 5.536, 5.536, 5.536 Å; angles 60.00, 60.00, 60.00 degrees
Element x y z (fractional)
Sc (0.377, 0.377, 0.377)
Sc (0.377, 0.377, 0.869)
Sc (0.377, 0.869, 0.377)
Sc (0.869, 0.377, 0.377)
Re (0.750, 0.750, 0.750)
Hg (0.000, 0.000, 0.000)

---

2.
First-principles (GGA-PBE) data for a geometry-optimized CsNbAgBr6 structure, as listed in Alexandria.

Output
E_form (uncorrected)	-0.940	eV/atom
E	-3.5856	eV/atom
DOS at the Fermi energy	6.86	states/eV/f.u.

Cell lengths 7.326, 7.326, 15.701 Å; angles 90.00, 90.00, 120.00 degrees
Element x y z (fractional)
Cs (0.000, 0.000, 0.000)
Cs (0.000, 0.000, 0.500)
Nb (0.333, 0.667, 0.250)
Nb (0.667, 0.333, 0.750)
Ag (0.333, 0.667, 0.750)
Ag (0.667, 0.333, 0.250)
Br (0.031, 0.392, 0.154)
Br (0.031, 0.639, 0.346)
Br (0.361, 0.392, 0.346)
Br (0.361, 0.969, 0.154)
Br (0.392, 0.031, 0.654)
Br (0.392, 0.361, 0.846)
Br (0.608, 0.639, 0.154)
Br (0.608, 0.969, 0.346)
Br (0.639, 0.031, 0.846)
Br (0.639, 0.608, 0.654)
Br (0.969, 0.361, 0.654)
Br (0.969, 0.608, 0.846)

---

3.
First-principles (GGA-PBE) data for a geometry-optimized V2WSe2S4 structure, as listed in Alexandria.

Output
E_form (uncorrected)	-0.758	eV/atom
E	-6.8328	eV/atom
DOS at the Fermi energy	2.51	states/eV/f.u.

Cell lengths 3.234, 3.234, 20.618 Å; angles 90.00, 90.00, 120.00 degrees
Element x y z (fractional)
V (0.000, 0.000, 0.000)
V (0.333, 0.667, 0.314)
W (0.333, 0.667, 0.670)
Se (0.000, 0.000, 0.587)
Se (0.000, 0.000, 0.753)
S (0.000, 0.000, 0.243)
S (0.000, 0.000, 0.386)
S (0.333, 0.667, 0.071)
S (0.333, 0.667, 0.928)

---

4.
First-principles (GGA-PBE) data for a geometry-optimized AlZnCo2Rh structure, as listed in Alexandria.

Output
calculated formation energy	86.1	kJ per mole of atoms
E	-4.4235	eV/atom
DOS at the Fermi energy	8.70	states/eV/f.u.

Cell lengths 4.266, 4.266, 4.537 Å; angles 90.00, 90.00, 90.00 degrees
Element x y z (fractional)
Al (0.000, 0.000, 0.000)
Zn (0.500, 0.500, 0.500)
Co (0.000, 0.500, 0.500)
Co (0.500, 0.000, 0.500)
Rh (0.500, 0.500, 0.000)